Entry 1:
This record from the Alexandria database describes MgSc2Si after structural relaxation. The functional is PBE.

Output
Uncorrected formation energy ... 0.02 eV/atom
E_tot ... -4.898 eV per atom
DOS(E_F) ... 8.855 states/eV per cell
Size of the total moment ... 0.000 μB per atom

abc: 7.7086 7.7086 6.0911
angles: 90.00 90.00 90.00
Closest atoms and distances in Å follow each position.
Space group I-42d (No. 122)
Unique sites:
Mg (0.0000, 0.0000, 0.0000) (multiplicity 4)  4 Sc 3.04, 2 Si 3.05
Sc (0.2118, 0.2500, 0.6250) (multiplicity 8)  2 Si 2.64
Si (0.0000, 0.0000, 0.5000) (multiplicity 4)  4 Sc 2.64

Entry 2:
This record from the Alexandria database describes MgSc2Si after structural relaxation. The functional is PBE.

Output
Uncorrected formation energy ... -0.15 eV/atom
E_tot ... -5.070 eV per atom
DOS(E_F) ... 3.405 states/eV per cell
Size of the total moment ... 0.000 μB per atom

abc: 3.1845 3.1845 8.1734
angles: 90.00 90.00 90.00
Closest atoms and distances in Å follow each position.
Space group P4mm (No. 99)
Unique sites:
Mg (0.0000, 0.0000, 0.0000) (multiplicity 1)  4 Si 2.83
Sc (0.0000, 0.0000, 0.5732) (multiplicity 1)  4 Si 2.87, 4 Sc 3.18
Sc (0.5000, 0.5000, 0.2833) (multiplicity 1)  8 Sc 3.18-3.27, 4 Mg 3.23
Si (0.5000, 0.5000, 0.7901) (multiplicity 1)  4 Mg 2.83, 4 Sc 2.87

Entry 3:
This record from the Alexandria database describes MgSc2Si after structural relaxation. The functional is PBE.

Output
Uncorrected formation energy ... -0.36 eV/atom
E_tot ... -5.277 eV per atom
DOS(E_F) ... 2.075 states/eV per cell
Size of the total moment ... 0.000 μB per atom

abc: 3.2064 3.8479 6.4274
angles: 90.00 90.00 90.00
Closest atoms and distances in Å follow each position.
Space group Pmmm (No. 47)
Unique sites:
Mg (0.0000, 0.0000, 0.0000) (multiplicity 1)  8 Sc 3.05, 2 Mg 3.21, 2 Si 3.21
Sc (0.5000, 0.5000, 0.2714) (multiplicity 2)  4 Si 2.90, 3 Sc 2.94-3.21, 4 Mg 3.05
Si (0.0000, 0.0000, 0.5000) (multiplicity 1)  8 Sc 2.90, 2 Si 3.21, 2 Mg 3.21

Entry 4:
This record from the Alexandria database describes MgScSi2 after structural relaxation. The functional is PBE.

Output
Uncorrected formation energy ... -0.27 eV/atom
E_tot ... -4.964 eV per atom
DOS(E_F) ... 3.590 states/eV per cell
Size of the total moment ... 0.000 μB per atom

abc: 9.2715 3.9890 4.0471
angles: 90.00 115.62 90.00
Closest atoms and distances in Å follow each position.
Space group C2/m (No. 12)
Unique sites:
Mg (0.0000, 0.0000, 0.0000) (multiplicity 2)  4 Sc 2.84, 8 Si 2.86-2.96
Sc (0.0000, 0.5000, 0.5000) (multiplicity 2)  4 Mg 2.84, 8 Si 2.85-2.97
Si (0.2496, 0.0000, 0.7303) (multiplicity 4)  4 Si 2.73-2.96, 4 Sc 2.85-2.97, 4 Mg 2.86-2.96

Entry 5:
This record from the Alexandria database describes MgSc2Si after structural relaxation. The functional is PBE.

Output
Uncorrected formation energy ... -0.26 eV/atom
E_tot ... -5.185 eV per atom
DOS(E_F) ... 5.939 states/eV per cell
Size of the total moment ... 0.000 μB per atom

abc: 4.0771 4.0771 9.6452
angles: 90.00 90.00 90.00
Closest atoms and distances in Å follow each position.
Space group I-4m2 (No. 119)
Unique sites:
Mg (0.0000, 0.0000, 0.0000) (multiplicity 2)  8 Sc 2.88-3.16, 4 Si 3.16
Sc (0.0000, 0.0000, 0.5000) (multiplicity 2)  4 Mg 2.88, 4 Sc 3.16, 4 Si 3.16
Sc (0.0000, 0.5000, 0.7500) (multiplicity 2)  4 Si 2.88, 4 Mg 3.16, 4 Sc 3.16
Si (0.0000, 0.5000, 0.2500) (multiplicity 2)  8 Sc 2.88-3.16, 4 Mg 3.16

Entry 6:
This record from the Alexandria database describes MgScSi2 after structural relaxation. The functional is PBE.

Output
Uncorrected formation energy ... 0.13 eV/atom
E_tot ... -4.565 eV per atom
DOS(E_F) ... 10.628 states/eV per cell
Size of the total moment ... 0.000 μB per atom

abc: 6.6175 6.6175 6.6175
angles: 90.00 90.00 90.00
Closest atoms and distances in Å follow each position.
Space group F-43m (No. 216)
Unique sites:
Mg (0.0000, 0.0000, 0.0000) (multiplicity 4)  4 Sc 2.87, 4 Si 2.87
Sc (0.2500, 0.2500, 0.7500) (multiplicity 4)  4 Si 2.87, 4 Mg 2.87
Si (0.0000, 0.0000, 0.5000) (multiplicity 4)  4 Si 2.87, 4 Sc 2.87
Si (0.2500, 0.2500, 0.2500) (multiplicity 4)  4 Mg 2.87, 4 Si 2.87

Entry 7:
This record from the Alexandria database describes MgSc2Si after structural relaxation. The functional is PBE.

Output
Uncorrected formation energy ... -0.19 eV/atom
E_tot ... -5.108 eV per atom
DOS(E_F) ... 11.004 states/eV per cell
Size of the total moment ... 0.000 μB per atom

abc: 3.3718 3.3718 26.8358
angles: 90.00 90.00 120.00
Closest atoms and distances in Å follow each position.
Space group R-3m (No. 166, hexagonal axes)
Unique sites:
Mg (0.0000, 0.0000, 0.0000) (multiplicity 3)  6 Sc 3.24, 6 Mg 3.37
Sc (0.0000, 0.0000, 0.2370) (multiplicity 6)  3 Si 2.71
Si (0.0000, 0.0000, 0.5000) (multiplicity 3)  6 Sc 2.71

Entry 8:
This record from the Alexandria database describes MgSc3Si after structural relaxation. The functional is PBE.

Output
Uncorrected formation energy ... -0.05 eV/atom
E_tot ... -5.250 eV per atom
Energy relative to the lowest polymorph listed for this composition ... 0 meV/atom
DOS(E_F) ... 10.342 states/eV per cell
Size of the total moment ... 0.000 μB per atom

abc: 5.0808 5.0808 5.0808
angles: 90.00 90.00 90.00
Closest atoms and distances in Å follow each position.
Space group Pm-3m (No. 221)
Unique sites:
Mg (0.0000, 0.0000, 0.0000) (multiplicity 1)  12 Sc 3.59
Sc (0.0000, 0.5000, 0.5000) (multiplicity 3)  2 Si 2.54
Si (0.5000, 0.5000, 0.5000) (multiplicity 1)  6 Sc 2.54